## A
Below is a relaxed structure of Tl2SbAs, with properties calculated at the PBE level.

Cell: 5.3653 5.3653 5.3653 Å, 60.00 60.00 60.00°
Closest atoms and distances in Å follow each position.
Atoms (fractional coordinates):
Tl1 0.2500 0.2500 0.2500  4 As 3.29, 4 Sb 3.29
Tl2 0.7500 0.7500 0.7500  4 As 3.29, 4 Sb 3.29
Sb1 0.0000 0.0000 0.0000  8 Tl 3.29
As1 0.5000 0.5000 0.5000  8 Tl 3.29

V (Å³ per atom): 27.3
ρ (g cm⁻³): 9.2

***

## B
Below is a relaxed structure of Tl2SbAs, with properties calculated at the PBE level.

Cell: 6.4498 6.4498 5.6799 Å, 115.76 115.76 34.50°
Closest atoms and distances in Å follow each position.
Atoms (fractional coordinates):
Tl1 0.0000 0.0000 0.0000  3 As 3.46-3.81, 4 Sb 3.50, 6 Tl 3.61-3.83
Tl2 0.2208 0.2208 0.7313  4 As 3.44-3.47, 6 Tl 3.61-3.83, 4 Sb 3.65-3.71
Sb1 0.4341 0.4341 0.4359  2 As 2.68
As1 0.7626 0.7626 0.2760  2 Sb 2.68

V (Å³ per atom): 29.8
ρ (g cm⁻³): 8.4

***

## C
Below is a relaxed structure of Tl2SbAs, with properties calculated at the PBE level.

Cell: 5.5326 5.5326 5.5326 Å, 125.05 125.05 81.46°
Closest atoms and distances in Å follow each position.
Atoms (fractional coordinates):
Tl1 0.0000 0.0000 0.0000  4 Tl 3.30, 4 As 3.30, 4 Sb 3.61
Tl2 0.7500 0.2500 0.5000  4 Sb 3.30, 4 Tl 3.30, 4 As 3.61
Sb1 0.5000 0.5000 0.0000  8 Tl 3.30-3.61, 4 As 3.30
As1 0.2500 0.7500 0.5000  4 Sb 3.30, 8 Tl 3.30-3.61

V (Å³ per atom): 27.3
ρ (g cm⁻³): 9.2

***

Which is most stable, and by how much? B, by 0.178 eV/atom.

***

## A
Below is a relaxed structure of Tl2SbAs, with properties calculated at the PBE level.

Cell: 10.8059 10.8059 10.8059 Å, 18.43 18.43 18.43°
Closest atoms and distances in Å follow each position.
Atoms (fractional coordinates):
Tl1 0.2448 0.2448 0.2448  3 As 3.19, 3 Sb 3.46, 6 Tl 3.46
Tl2 0.7552 0.7552 0.7552  3 As 3.19, 3 Sb 3.46, 6 Tl 3.46
Sb1 0.0000 0.0000 0.0000  6 Tl 3.46, 6 Sb 3.46
As1 0.5000 0.5000 0.5000  6 Tl 3.19, 6 As 3.46

V (Å³ per atom): 27.5
ρ (g cm⁻³): 9.1

***

## B
Below is a relaxed structure of Tl2SbAs, with properties calculated at the PBE level.

Cell: 3.9237 3.9237 7.7232 Å, 90.00 90.00 90.00°
Closest atoms and distances in Å follow each position.
Atoms (fractional coordinates):
Tl1 0.0000 0.0000 0.0000  1 As 3.12
Tl2 0.5000 0.5000 0.3134  1 Sb 3.16, 4 As 3.53
Sb1 0.5000 0.5000 0.7225  4 As 2.94, 1 Tl 3.16
As1 0.0000 0.0000 0.5959  4 Sb 2.94, 1 Tl 3.12

V (Å³ per atom): 29.7
ρ (g cm⁻³): 8.5

***

## C
Below is a relaxed structure of Tl2SbAs, with properties calculated at the PBE level.

Cell: 4.0382 4.4097 7.5524 Å, 106.76 104.86 90.05°
Closest atoms and distances in Å follow each position.
Atoms (fractional coordinates):
Tl1 0.0000 0.0000 0.0000  2 As 3.28-3.30, 2 Sb 3.32-3.43, 4 Tl 3.51-3.53
Tl2 0.3715 0.3642 0.7335  2 As 3.25-3.33, 2 Sb 3.32-3.43, 4 Tl 3.51-3.53
Sb1 0.1791 0.6635 0.3669  2 As 2.72-2.73
As1 0.6801 0.0775 0.3664  2 Sb 2.72-2.73

V (Å³ per atom): 31.0
ρ (g cm⁻³): 8.1

***

## D
Below is a relaxed structure of Tl2SbAs, with properties calculated at the PBE level.

Cell: 3.2571 3.2571 10.4394 Å, 90.00 90.00 90.00°
Closest atoms and distances in Å follow each position.
Atoms (fractional coordinates):
Tl1 0.0000 0.0000 0.2290  4 Tl 3.26, 4 As 3.32, 4 Sb 3.65
Tl2 0.0000 0.0000 0.7710  4 Tl 3.26, 4 As 3.32, 4 Sb 3.65
Sb1 0.5000 0.5000 0.5000  4 Sb 3.26, 8 Tl 3.65
As1 0.5000 0.5000 0.0000  4 As 3.26, 8 Tl 3.32

V (Å³ per atom): 27.7
ρ (g cm⁻³): 9.1

***

Which is most stable, and by how much? C, by 0.011 eV/atom.

***

## A
Below is a relaxed structure of TlSbAs2, with properties calculated at the PBE level.

Cell: 7.7685 7.7685 7.7685 Å, 30.03 30.03 30.03°
Closest atoms and distances in Å follow each position.
Atoms (fractional coordinates):
Tl1 0.0000 0.0000 0.0000  6 As 3.10
Sb1 0.8313 0.8313 0.8313  6 As 2.83-2.88
As1 0.2409 0.2409 0.2409  3 Sb 2.88, 3 Tl 3.10
As2 0.4253 0.4253 0.4253  3 Sb 2.83, 3 Tl 3.10

V (Å³ per atom): 26.0
ρ (g cm⁻³): 7.6

***

## B
Below is a relaxed structure of TlSbAs2, with properties calculated at the PBE level.

Cell: 10.8831 10.8831 10.8831 Å, 17.05 17.05 17.05°
Closest atoms and distances in Å follow each position.
Atoms (fractional coordinates):
Tl1 0.0000 0.0000 0.0000  6 Tl 3.23, 6 As 3.32
Sb1 0.5000 0.5000 0.5000  6 As 3.21, 6 Sb 3.23
As1 0.2478 0.2478 0.2478  3 Sb 3.21, 6 As 3.23, 3 Tl 3.32
As2 0.7522 0.7522 0.7522  3 Sb 3.21, 6 As 3.23, 3 Tl 3.32

V (Å³ per atom): 24.2
ρ (g cm⁻³): 8.2

***

Which is most stable, and by how much? A, by 0.275 eV/atom.

***

## A
Below is a relaxed structure of TlSbAs2, with properties calculated at the PBE level.

Cell: 6.3587 6.3587 6.3587 Å, 141.55 141.55 55.50°
Closest atoms and distances in Å follow each position.
Atoms (fractional coordinates):
Tl1 0.0000 0.0000 0.0000  4 As 2.96
Sb1 0.7500 0.2500 0.5000  4 As 2.96
As1 0.2500 0.7500 0.5000  4 Sb 2.96
As2 0.5000 0.5000 0.0000  4 Tl 2.96

V (Å³ per atom): 24.7
ρ (g cm⁻³): 8.0

***

## B
Below is a relaxed structure of TlSbAs2, with properties calculated at the PBE level.

Cell: 5.1263 5.1263 5.1263 Å, 60.00 60.00 60.00°
Closest atoms and distances in Å follow each position.
Atoms (fractional coordinates):
Tl1 0.0000 0.0000 0.0000  4 As 3.14, 4 Sb 3.14
Sb1 0.7500 0.7500 0.7500  4 Tl 3.14, 4 As 3.14
As1 0.2500 0.2500 0.2500  4 Tl 3.14, 4 As 3.14
As2 0.5000 0.5000 0.5000  4 As 3.14, 4 Sb 3.14

V (Å³ per atom): 23.8
ρ (g cm⁻³): 8.3

***

## C
Below is a relaxed structure of TlSbAs2, with properties calculated at the PBE level.

Cell: 5.9961 5.9961 5.9961 Å, 143.64 128.00 65.10°
Closest atoms and distances in Å follow each position.
Atoms (fractional coordinates):
Tl1 0.0000 0.0000 0.0000  4 Sb 3.23, 8 As 3.40-3.44
Sb1 0.5000 0.5000 0.0000  4 As 2.90, 4 Tl 3.23
As1 0.2810 0.7810 0.5000  2 Sb 2.90
As2 0.7190 0.2190 0.5000  2 Sb 2.90

V (Å³ per atom): 24.9
ρ (g cm⁻³): 8.0

***

Which is most stable, and by how much? C, by 0.032 eV/atom.

***

## A
Below is a relaxed structure of Tm4Sb3As, with properties calculated at the PBE level.

Cell: 7.4037 7.4037 4.2610 Å, 90.00 90.00 109.32°
Closest atoms and distances in Å follow each position.
Atoms (fractional coordinates):
Tm1 0.2380 0.2380 0.5000  2 As 2.95, 4 Sb 3.02-3.09
Tm2 0.2436 0.7564 0.0000  1 As 2.94, 5 Sb 3.02-3.10
Tm3 0.7564 0.2436 0.0000  1 As 2.94, 5 Sb 3.02-3.10
Tm4 0.7620 0.7620 0.5000  2 As 2.95, 4 Sb 3.02-3.09
Sb1 0.0000 0.5000 0.5000  6 Tm 3.02
Sb2 0.5000 0.0000 0.5000  6 Tm 3.02
Sb3 0.5000 0.5000 0.0000  6 Tm 3.09-3.10
As1 0.0000 0.0000 0.0000  6 Tm 2.94-2.95

V (Å³ per atom): 27.6
ρ (g cm⁻³): 8.4

***

## B
Below is a relaxed structure of Tm4Sb3As, with properties calculated at the PBE level.

Cell: 6.0427 6.0427 6.0427 Å, 90.00 90.00 90.00°
Closest atoms and distances in Å follow each position.
Atoms (fractional coordinates):
Tm1 0.0000 0.0000 0.0000  6 Sb 3.02
Tm2 0.0000 0.5000 0.5000  2 As 3.02, 4 Sb 3.02
Tm3 0.5000 0.0000 0.5000  2 As 3.02, 4 Sb 3.02
Tm4 0.5000 0.5000 0.0000  2 As 3.02, 4 Sb 3.02
Sb1 0.0000 0.0000 0.5000  6 Tm 3.02
Sb2 0.0000 0.5000 0.0000  6 Tm 3.02
Sb3 0.5000 0.0000 0.0000  6 Tm 3.02
As1 0.5000 0.5000 0.5000  6 Tm 3.02

V (Å³ per atom): 27.6
ρ (g cm⁻³): 8.4

***

Which is most stable, and by how much? A, by 0.014 eV/atom.

***

## A
Below is a relaxed structure of USbAs2, with properties calculated at the PBE level.

Cell: 4.6897 4.6897 3.9006 Å, 90.00 90.00 90.00°
Closest atoms and distances in Å follow each position.
Atoms (fractional coordinates):
U1 0.0000 0.0000 0.0000  8 As 3.05, 4 Sb 3.32
Sb1 0.5000 0.5000 0.0000  8 As 3.05, 4 U 3.32
As1 0.0000 0.5000 0.5000  4 Sb 3.05, 4 U 3.05, 4 As 3.32
As2 0.5000 0.0000 0.5000  4 Sb 3.05, 4 U 3.05, 4 As 3.32

V (Å³ per atom): 21.4
ρ (g cm⁻³): 9.9

***

## B
Below is a relaxed structure of USbAs2, with properties calculated at the PBE level.

Cell: 8.9956 8.9956 8.9956 Å, 25.74 25.74 25.74°
Closest atoms and distances in Å follow each position.
Atoms (fractional coordinates):
U1 0.0000 0.0000 0.0000  6 As 2.80
Sb1 0.5000 0.5000 0.5000  2 As 2.77
As1 0.3937 0.3937 0.3937  1 Sb 2.77, 3 U 2.80
As2 0.6063 0.6063 0.6063  1 Sb 2.77, 3 U 2.80

V (Å³ per atom): 30.2
ρ (g cm⁻³): 7.0

***

Which is most stable, and by how much? A, by 0.359 eV/atom.

***

## A
Below is a relaxed structure of VSb3As, with properties calculated at the PBE level.

Cell: 5.0983 5.0983 5.0983 Å, 90.00 90.00 90.00°
Closest atoms and distances in Å follow each position.
Atoms (fractional coordinates):
V1 0.0000 0.0000 0.0000  6 Sb 2.55
Sb1 0.0000 0.0000 0.5000  2 V 2.55
Sb2 0.0000 0.5000 0.0000  2 V 2.55
Sb3 0.5000 0.0000 0.0000  2 V 2.55
As1 0.5000 0.5000 0.5000  12 Sb 3.61

V (Å³ per atom): 26.5
ρ (g cm⁻³): 6.2

***

## B
Below is a relaxed structure of VSb3As, with properties calculated at the PBE level.

Cell: 5.3051 5.3051 5.3051 Å, 90.00 90.00 90.00°
Closest atoms and distances in Å follow each position.
Atoms (fractional coordinates):
V1 0.0000 0.0000 0.0000  12 Sb 3.75
Sb1 0.0000 0.5000 0.5000  2 As 2.65
Sb2 0.5000 0.0000 0.5000  2 As 2.65
Sb3 0.5000 0.5000 0.0000  2 As 2.65
As1 0.5000 0.5000 0.5000  6 Sb 2.65

V (Å³ per atom): 29.9
ρ (g cm⁻³): 5.5

***

Which is most stable, and by how much? A, by 0.542 eV/atom.

***

## A
Below is a relaxed structure of Sb3AsW, with properties calculated at the PBE level.

Cell: 5.2139 5.2139 5.2139 Å, 90.00 90.00 90.00°
Closest atoms and distances in Å follow each position.
Atoms (fractional coordinates):
Sb1 0.0000 0.0000 0.5000  2 W 2.61
Sb2 0.0000 0.5000 0.0000  2 W 2.61
Sb3 0.5000 0.0000 0.0000  2 W 2.61
As1 0.5000 0.5000 0.5000  12 Sb 3.69
W1 0.0000 0.0000 0.0000  6 Sb 2.61

V (Å³ per atom): 28.3
ρ (g cm⁻³): 7.3

***

## B
Below is a relaxed structure of Sb3AsW, with properties calculated at the PBE level.

Cell: 5.2099 5.2099 5.2099 Å, 90.00 90.00 90.00°
Closest atoms and distances in Å follow each position.
Atoms (fractional coordinates):
Sb1 0.0000 0.0000 0.5000  2 As 2.60
Sb2 0.0000 0.5000 0.0000  2 As 2.60
Sb3 0.5000 0.0000 0.0000  2 As 2.60
As1 0.0000 0.0000 0.0000  6 Sb 2.60
W1 0.5000 0.5000 0.5000  12 Sb 3.68

V (Å³ per atom): 28.3
ρ (g cm⁻³): 7.3

***

Which is most stable, and by how much? A, by 0.766 eV/atom.

***

## A
Below is a relaxed structure of YSbAs, with properties calculated at the PBE level.

Cell: 11.3559 11.3559 11.3559 Å, 160.06 160.06 28.35°
Closest atoms and distances in Å follow each position.
Atoms (fractional coordinates):
Y1 0.1593 0.1593 0.0000  5 As 2.90-3.18
Y2 0.8407 0.8407 0.0000  5 As 2.90-3.18
Sb1 0.4273 0.4273 0.0000  1 As 2.72
Sb2 0.5727 0.5727 0.0000  1 As 2.72
As1 0.3039 0.3039 0.0000  1 Sb 2.72, 4 Y 2.90
As2 0.6961 0.6961 0.0000  1 Sb 2.72, 4 Y 2.90

V (Å³ per atom): 28.4
ρ (g cm⁻³): 5.6

***

## B
Below is a relaxed structure of YSbAs, with properties calculated at the PBE level.

Cell: 4.8366 4.8366 3.8024 Å, 90.00 90.00 120.00°
Closest atoms and distances in Å follow each position.
Atoms (fractional coordinates):
Y1 0.0000 0.0000 0.0000  6 Sb 3.38, 6 As 3.38
Sb1 0.3333 0.6667 0.5000  3 As 2.79
As1 0.6667 0.3333 0.5000  3 Sb 2.79

V (Å³ per atom): 25.7
ρ (g cm⁻³): 6.2

***

Which is most stable, and by how much? A, by 0.283 eV/atom.

***

## A
Below is a relaxed structure of YSbAs, with properties calculated at the PBE level.

Cell: 3.8316 3.8316 6.2531 Å, 90.00 90.00 120.00°
Closest atoms and distances in Å follow each position.
Atoms (fractional coordinates):
Y1 0.0000 0.0000 0.0000  3 As 2.91
Sb1 0.3333 0.6667 0.6168  3 As 2.96, 3 Y 3.26
As1 0.6667 0.3333 0.3016  3 Y 2.91, 3 Sb 2.96

V (Å³ per atom): 26.5
ρ (g cm⁻³): 6.0

***

## B
Below is a relaxed structure of YSbAs, with properties calculated at the PBE level.

Cell: 4.9005 4.9005 4.9005 Å, 60.00 60.00 60.00°
Closest atoms and distances in Å follow each position.
Atoms (fractional coordinates):
Y1 0.0000 0.0000 0.0000  4 As 3.00
Sb1 0.5000 0.5000 0.5000  4 As 3.00
As1 0.2500 0.2500 0.2500  4 Sb 3.00, 4 Y 3.00

V (Å³ per atom): 27.7
ρ (g cm⁻³): 5.7

***

Which is most stable, and by how much? B, by 0.101 eV/atom.

***

## A
Below is a relaxed structure of YSb2As2, with properties calculated at the PBE level.

Cell: 7.9128 7.9128 4.0800 Å, 90.00 90.00 90.00°
Closest atoms and distances in Å follow each position.
Atoms (fractional coordinates):
Y1 0.0000 0.0000 0.0000  4 As 2.99
Y2 0.5000 0.5000 0.0000  4 As 2.99
Sb1 0.1813 0.3187 0.5000  2 As 2.73
Sb2 0.3187 0.8187 0.5000  2 As 2.73
Sb3 0.6813 0.1813 0.5000  2 As 2.73
Sb4 0.8187 0.6813 0.5000  2 As 2.73
As1 0.1567 0.6567 0.0000  2 Sb 2.73, 2 Y 2.99
As2 0.3433 0.1567 0.0000  2 Sb 2.73, 2 Y 2.99
As3 0.6567 0.8433 0.0000  2 Sb 2.73, 2 Y 2.99
As4 0.8433 0.3433 0.0000  2 Sb 2.73, 2 Y 2.99

V (Å³ per atom): 25.5
ρ (g cm⁻³): 6.3

***

## B
Below is a relaxed structure of YSb2As2, with properties calculated at the PBE level.

Cell: 8.8221 8.8221 8.8221 Å, 154.25 154.25 36.74°
Closest atoms and distances in Å follow each position.
Atoms (fractional coordinates):
Y1 0.0000 0.0000 0.0000  8 Sb 3.20
Sb1 0.4060 0.4060 0.0000  1 Sb 3.15, 4 Y 3.20, 4 As 3.27
Sb2 0.5940 0.5940 0.0000  1 Sb 3.15, 4 Y 3.20, 4 As 3.27
As1 0.2500 0.7500 0.5000  4 As 2.78
As2 0.7500 0.2500 0.5000  4 As 2.78

V (Å³ per atom): 25.9
ρ (g cm⁻³): 6.2

***

## C
Below is a relaxed structure of YSb2As2, with properties calculated at the PBE level.

Cell: 8.9397 8.9397 8.9397 Å, 153.68 153.68 37.56°
Closest atoms and distances in Å follow each position.
Atoms (fractional coordinates):
Y1 0.0000 0.0000 0.0000  8 As 3.14
Sb1 0.2500 0.7500 0.5000  4 Sb 2.88
Sb2 0.7500 0.2500 0.5000  4 Sb 2.88
As1 0.4264 0.4264 0.0000  1 As 2.49
As2 0.5736 0.5736 0.0000  1 As 2.49

V (Å³ per atom): 28.0
ρ (g cm⁻³): 5.7

***

Which is most stable, and by how much? A, by 0.201 eV/atom.

***

## A
Below is a relaxed structure of YSb3As, with properties calculated at the PBE level.

Cell: 5.7272 5.7272 5.7272 Å, 90.00 90.00 90.00°
Closest atoms and distances in Å follow each position.
Atoms (fractional coordinates):
Y1 0.0000 0.0000 0.0000  6 Sb 2.86
Sb1 0.0000 0.0000 0.5000  2 Y 2.86
Sb2 0.0000 0.5000 0.0000  2 Y 2.86
Sb3 0.5000 0.0000 0.0000  2 Y 2.86
As1 0.5000 0.5000 0.5000  12 Sb 4.05

V (Å³ per atom): 37.6
ρ (g cm⁻³): 4.7

***

## B
Below is a relaxed structure of YSb3As, with properties calculated at the PBE level.

Cell: 5.3274 5.3274 5.3274 Å, 90.00 90.00 90.00°
Closest atoms and distances in Å follow each position.
Atoms (fractional coordinates):
Y1 0.0000 0.0000 0.0000  12 Sb 3.77
Sb1 0.0000 0.5000 0.5000  2 As 2.66
Sb2 0.5000 0.0000 0.5000  2 As 2.66
Sb3 0.5000 0.5000 0.0000  2 As 2.66
As1 0.5000 0.5000 0.5000  6 Sb 2.66

V (Å³ per atom): 30.2
ρ (g cm⁻³): 5.8

***

Which is most stable, and by how much? B, by 0.511 eV/atom.